1.
Compound: KRh2Br
Source: Alexandria
Functional: SCAN
Structure: single point on PBEsol structure

Summary:
- Relative energy among the computed polymorphs: 0.00 eV per formula unit

Cell lengths 3.262, 3.323, 7.973 Å; angles 90.00, 101.83, 90.00 degrees
Each line ends with the local moment (μB).
Fractional coordinates of all 4 atoms:
Br 0.674 0.000 0.473  0.03
K 0.313 0.500 0.749  0.00
Rh 0.975 0.000 0.076  0.95
Rh 0.538 0.500 0.202  0.98

=====

2.
Compound: KRh2Br
Source: Alexandria
Functional: SCAN
Structure: single point on PBEsol structure

Summary:
- Relative energy among the computed polymorphs: 1.85 eV per formula unit

Cell lengths 2.897, 4.871, 5.891 Å; angles 114.42, 104.23, 90.00 degrees
Fractional coordinates of all 4 atoms:
Br 0.500 0.000 0.000
K 0.000 0.500 0.000
Rh 0.779 0.779 0.558
Rh 0.221 0.221 0.442

=====

3.
Compound: K2SnRhBr
Source: Alexandria
Functional: SCAN
Structure: single point on PBEsol structure

Cell lengths 4.930, 5.947, 5.947 Å; angles 90.00, 90.00, 90.00 degrees
Fractional coordinates of all 5 atoms:
K 0.000 0.000 0.500
K 0.000 0.500 0.000
Rh 0.000 0.000 0.000
Sn 0.500 0.000 0.000
Br 0.500 0.500 0.500

=====

| no. | energy (eV per cell) | M_tot (μB/f.u.) | formation energy (no corrections) (eV/atom) |
| --- | --- | --- | --- |
| 1 | -95.2 | 1.9 | 0.0226 |
| 2 | -93.4 | 0.0 | 0.4839 |
| 3 | -107.6 | 0.0 | -0.3553 |